# meta-GGA SCAN BeAgSb2, PBEsol geometry
data_BeAgSb2
_chemical_formula_sum 'Be2 Ag2 Sb4'
_symmetry_space_group_name_H-M 'I m m m'
_symmetry_Int_Tables_number 71
_symmetry_space_group_name_Hall '-I 2 2'
_cell_length_a 3.1862
_cell_length_b 4.0084
_cell_length_c 12.8094
_cell_angle_alpha 90.00
_cell_angle_beta 90.00
_cell_angle_gamma 90.00
loop_
_atom_site_label
_atom_site_type_symbol
_atom_site_fract_x
_atom_site_fract_y
_atom_site_fract_z
_atom_site_occupancy
Be1 Be 0.0000 0.0000 0.0000 1
Ag1 Ag 0.0000 0.0000 0.5000 1
Sb1 Sb 0.0000 0.5000 0.3387 1
# Formation energy (no corrections) ... 0.2410 eV/atom
# Calculated total energy ... -218.556 eV per cell
# Total magnetization ... 0.000 μB per formula unit
# D(E_F) ... 2.85 states/eV per cell